SnOsRu after structural relaxation, computed with GGA-PBE.

Cell and atoms, written as extended XYZ:
```
6
Lattice="-2.374 -0.789 1.556 0.172 -0.654 -2.859 5.723 -11.396 2.951" Properties=species:S:1:pos:R:3 pbc="T T T"
Ru -0.901 -0.931 -1.847
Sn 0.718 -2.106 0.027
Os 1.998 -8.447 1.552
Sn 4.558 -9.752 2.007
Os 0.220 -4.907 0.635
Ru 1.958 -6.632 -0.377
```

Results
Crystal system ... orthorhombic
Space group ... No. 38
Calculated formation energy ... 111 kJ/mol of formula units